A relaxed DyHoAu2 crystal, computed with GGA-PBE.

The structure in CIF format:
```
data_DyHoAu2
_chemical_formula_sum 'Dy1 Ho1 Au2'
_space_group_name_H-M_alt 'P 1'
_space_group_IT_number 1
_cell_length_a 4.646
_cell_length_b 5.770
_cell_length_c 5.770
_cell_angle_alpha 37.47
_cell_angle_beta 90.00
_cell_angle_gamma 90.00
loop_
_space_group_symop_operation_xyz
'x,y,z'
loop_
_atom_site_label
_atom_site_type_symbol
_atom_site_fract_x
_atom_site_fract_y
_atom_site_fract_z
Au1 Au 0.500 0.089 0.089
Au2 Au 0.000 0.911 0.911
Dy1 Dy 0.000 0.640 0.640
Ho1 Ho 0.500 0.360 0.360
```

Calculated values
As for the formation energy: -0.89 eV/atom. For the magnetization, the calculation gives 0.004 μB/cell. Its calculated density is 12.73 g/cm³.

=====

A relaxed DyHoAu2 crystal, computed with GGA-PBE.

The structure in CIF format:
```
data_DyHoAu2
_chemical_formula_sum 'Dy2 Ho2 Au4'
_space_group_name_H-M_alt 'P 1'
_space_group_IT_number 1
_cell_length_a 4.685
_cell_length_b 5.592
_cell_length_c 7.179
_cell_angle_alpha 90.00
_cell_angle_beta 90.00
_cell_angle_gamma 90.00
loop_
_space_group_symop_operation_xyz
'x,y,z'
loop_
_atom_site_label
_atom_site_type_symbol
_atom_site_fract_x
_atom_site_fract_y
_atom_site_fract_z
Au1 Au 0.000 0.588 0.041
Au2 Au 0.500 0.090 0.459
Au3 Au 0.000 0.412 0.541
Au4 Au 0.500 0.910 0.959
Dy1 Dy 0.000 0.095 0.188
Dy2 Dy 0.000 0.905 0.688
Ho1 Ho 0.500 0.596 0.312
Ho2 Ho 0.500 0.404 0.812
```

Calculated values
As for the formation energy: -0.88 eV/atom. For the magnetization, the calculation gives 0.007 μB/cell. Its calculated density is 12.74 g/cm³.

=====

A relaxed DyHoAu4 crystal, computed with GGA-PBE.

The structure in CIF format:
```
data_DyHoAu4
_chemical_formula_sum 'Dy1 Ho1 Au4'
_space_group_name_H-M_alt 'P 1'
_space_group_IT_number 1
_cell_length_a 3.726
_cell_length_b 3.726
_cell_length_c 9.032
_cell_angle_alpha 90.00
_cell_angle_beta 90.00
_cell_angle_gamma 90.00
loop_
_space_group_symop_operation_xyz
'x,y,z'
loop_
_atom_site_label
_atom_site_type_symbol
_atom_site_fract_x
_atom_site_fract_y
_atom_site_fract_z
Au1 Au 0.500 0.500 0.165
Au2 Au 0.000 0.000 0.335
Au3 Au 0.000 0.000 0.665
Au4 Au 0.500 0.500 0.835
Dy1 Dy 0.000 0.000 0.000
Ho1 Ho 0.500 0.500 0.500
```

Calculated values
As for the formation energy: -0.87 eV/atom. For the magnetization, the calculation gives 0.003 μB/cell. Its calculated density is 14.77 g/cm³.

=====

A relaxed DyHoIn4Au2 crystal, computed with GGA-PBE.

The structure in CIF format:
```
data_DyHoIn4Au2
_chemical_formula_sum 'Dy1 Ho1 In4 Au2'
_space_group_name_H-M_alt 'P 1'
_space_group_IT_number 1
_cell_length_a 7.252
_cell_length_b 5.920
_cell_length_c 5.920
_cell_angle_alpha 46.05
_cell_angle_beta 90.00
_cell_angle_gamma 90.00
loop_
_space_group_symop_operation_xyz
'x,y,z'
loop_
_atom_site_label
_atom_site_type_symbol
_atom_site_fract_x
_atom_site_fract_y
_atom_site_fract_z
Au1 Au 0.000 0.299 0.299
Au2 Au 0.500 0.701 0.701
Dy1 Dy 0.500 0.419 0.419
Ho1 Ho 0.000 0.581 0.581
In1 In 0.294 0.129 0.129
In2 In 0.706 0.129 0.129
In3 In 0.205 0.871 0.871
In4 In 0.795 0.871 0.871
```

Calculated values
The total energy is -0.141 Ha/atom. For the magnetization, the calculation gives 0.007 μB/cell. Its calculated density is 10.71 g/cm³.